1.
# LuPaOs

A geometry-optimized LuPaOs structure (PBE, the Alexandria database).

a b c (Å): 4.7712 4.7712 3.1640
angles (deg): 90.00 90.00 120.00
Fractional coordinates of all 3 atoms:
Lu: 0.0000 0.0000 0.0000
Pa: 0.6667 0.3333 0.3737
Os: 0.3333 0.6667 0.6511

Results
SG: P3m1 (156)
Offset from the most stable computed form (eV/atom): 0.166
ΔH_f (0 K) (meV per atom): -41
N(E_F) (states/eV per atom): 1.12
Density (Mg/m³): 15.872

***

2.
# Np4U2Ru3

A geometry-optimized Np4U2Ru3 structure (PBE, the Alexandria database).

a b c (Å): 8.0598 8.0598 6.1489
angles (deg): 97.23 97.23 25.11
Fractional coordinates of all 9 atoms:
Np: 0.0713 0.0713 0.2457
Np: 0.2245 0.2245 0.2011
Np: 0.7755 0.7755 0.7989
Np: 0.9287 0.9287 0.7543
U: 0.1672 0.1672 0.6513
U: 0.8328 0.8328 0.3487
Ru: 0.4112 0.4112 0.0661
Ru: 0.5000 0.5000 0.5000
Ru: 0.5888 0.5888 0.9339

Results
SG: C2/m (12)
ΔH_f (0 K) (meV per atom): 58
N(E_F) (states/eV per atom): 2.07
Density (Mg/m³): 17.064

***

3.
# Sm3Pu3WN8

A geometry-optimized Sm3Pu3WN8 structure (PBE, the Alexandria database).

a b c (Å): 6.9252 6.9252 6.9252
angles (deg): 59.27 59.27 59.27
Fractional coordinates of all 15 atoms:
Sm: 0.0000 0.5000 0.5000
Sm: 0.5000 0.0000 0.5000
Sm: 0.5000 0.5000 0.0000
Pu: 0.0000 0.0000 0.5000
Pu: 0.0000 0.5000 0.0000
Pu: 0.5000 0.0000 0.0000
W: 0.5000 0.5000 0.5000
N: 0.2454 0.2454 0.2454
N: 0.2708 0.7173 0.7173
N: 0.2827 0.2827 0.7292
N: 0.2827 0.7292 0.2827
N: 0.7173 0.2708 0.7173
N: 0.7173 0.7173 0.2708
N: 0.7292 0.2827 0.2827
N: 0.7546 0.7546 0.7546

Results
SG: R-3m (166)
N(E_F) (states/eV per atom): 1.38
Density (Mg/m³): 10.635
E_form (uncorrected) (meV/atom): -1150

***

4.
# Sr2ScInN

A geometry-optimized Sr2ScInN structure (PBE, the Alexandria database).

a b c (Å): 5.4761 5.4761 4.3032
angles (deg): 90.00 90.00 90.00
Fractional coordinates of all 5 atoms:
Sr: 0.0000 0.5000 0.0000
Sr: 0.5000 0.0000 0.0000
Sc: 0.0000 0.0000 0.5000
In: 0.5000 0.5000 0.5000
N: 0.0000 0.0000 0.0000

Results
SG: P4/mmm (123)
N(E_F) (states/eV per atom): 0.33
Density (Mg/m³): 4.491
E_form (uncorrected) (meV/atom): -673

***

5.
# Sr3In2Bi4

A geometry-optimized Sr3In2Bi4 structure (PBE, the Alexandria database).

a b c (Å): 7.3611 18.0251 5.0133
angles (deg): 90.00 90.00 90.00
Fractional coordinates of all 18 atoms:
Sr: 0.0000 0.0000 0.0000
Sr: 0.1933 0.3030 0.5000
Sr: 0.3067 0.8030 0.0000
Sr: 0.5000 0.5000 0.5000
Sr: 0.6933 0.1970 0.0000
Sr: 0.8067 0.6970 0.5000
In: 0.1465 0.5881 0.0000
In: 0.3535 0.0881 0.5000
In: 0.6465 0.9119 0.5000
In: 0.8535 0.4119 0.0000
Bi: 0.2131 0.1711 0.0000
Bi: 0.2430 0.9265 0.5000
Bi: 0.2570 0.4265 0.0000
Bi: 0.2869 0.6711 0.5000
Bi: 0.7131 0.3289 0.5000
Bi: 0.7430 0.5735 0.0000
Bi: 0.7570 0.0735 0.5000
Bi: 0.7869 0.8289 0.0000

Results
SG: Pnnm (58)
Offset from the most stable computed form (eV/atom): 0.000
ΔH_f (0 K) (meV per atom): -572
N(E_F) (states/eV per atom): 0.11
Density (Mg/m³): 6.632

***

6.
# LiYCu10

A geometry-optimized LiYCu10 structure (PBE, the Alexandria database).

a b c (Å): 4.0905 4.9508 8.5818
angles (deg): 90.00 90.00 90.00
Fractional coordinates of all 12 atoms:
Li: 0.0000 0.0000 0.0000
Y: 0.0000 0.5000 0.5000
Cu: 0.0000 0.0000 0.3176
Cu: 0.0000 0.0000 0.6824
Cu: 0.0000 0.5000 0.1575
Cu: 0.0000 0.5000 0.8425
Cu: 0.5000 0.0000 0.5000
Cu: 0.5000 0.2527 0.2500
Cu: 0.5000 0.2527 0.7500
Cu: 0.5000 0.5000 0.0000
Cu: 0.5000 0.7473 0.2500
Cu: 0.5000 0.7473 0.7500

Results
SG: Pmmm (47)
ΔH_f (0 K) (meV per atom): -83
N(E_F) (states/eV per atom): 0.50
Density (Mg/m³): 6.987

***

7.
# InGa2Ag6

A geometry-optimized InGa2Ag6 structure (PBE, the Alexandria database).

a b c (Å): 5.0390 5.2953 6.8928
angles (deg): 80.74 71.86 71.42
Fractional coordinates of all 9 atoms:
In: 0.0000 0.0000 0.0000
Ga: 0.4372 0.8755 0.2512
Ga: 0.5628 0.1245 0.7488
Ag: 0.1062 0.2246 0.5549
Ag: 0.2395 0.4103 0.1027
Ag: 0.3383 0.6550 0.6719
Ag: 0.6617 0.3450 0.3281
Ag: 0.7605 0.5897 0.8973
Ag: 0.8938 0.7754 0.4451

Results
SG: P-1 (2)
Offset from the most stable computed form (eV/atom): 0.000
ΔH_f (0 K) (meV per atom): 7
N(E_F) (states/eV per atom): 0.27
Density (Mg/m³): 9.057

***

8.
# GeRu2F2

A geometry-optimized GeRu2F2 structure (PBE, the Alexandria database).

a b c (Å): 7.1396 7.1396 2.7402
angles (deg): 90.00 90.00 90.00
Fractional coordinates of all 10 atoms:
Ge: 0.0000 0.0000 0.0000
Ge: 0.5000 0.5000 0.0000
Ru: 0.1115 0.3885 0.0000
Ru: 0.3885 0.8885 0.0000
Ru: 0.6115 0.1115 0.0000
Ru: 0.8885 0.6115 0.0000
F: 0.2208 0.7208 0.5000
F: 0.2792 0.2208 0.5000
F: 0.7208 0.7792 0.5000
F: 0.7792 0.2792 0.5000

Results
SG: P4/mbm (127)
Offset from the most stable computed form (eV/atom): 0.368
N(E_F) (states/eV per atom): 0.92
Density (Mg/m³): 7.437
E_form (uncorrected) (meV/atom): -56

***

Which of these has the highest density?
Np4U2Ru3

***

Among the records above, which one has the lowest density?
Sr2ScInN

***

Number 5 is which compound?
Sr3In2Bi4